(1)
{"formula": "CaSeCl2", "functional": "PBE-GGA", "state": "relaxed", "cell": [[4.696, 0.000, 0.000], [0.000, 4.696, 0.000], [0.000, 0.000, 5.288]], "species": ["Ca", "Se", "Cl", "Cl"], "fractional_positions": [[0.000, 0.000, 0.000], [0.500, 0.500, 0.981], [0.000, 0.000, 0.508], [0.500, 0.500, 0.399]], "m_tot_mub_per_fu": 0.0, "de_polymorph_mev_per_atom": 182, "e_form_raw_mev_per_atom": -1226}


(2)
{"formula": "CaSeCl2", "functional": "PBE-GGA", "state": "relaxed", "cell": [[3.998, 0.000, 0.000], [-1.999, 3.463, 0.000], [0.000, 0.000, 32.145]], "species": ["Ca", "Ca", "Ca", "Se", "Se", "Se", "Cl", "Cl", "Cl", "Cl", "Cl", "Cl"], "fractional_positions": [[0.000, 0.000, 0.000], [0.333, 0.667, 0.667], [0.667, 0.333, 0.333], [0.000, 0.000, 0.500], [0.333, 0.667, 0.167], [0.667, 0.333, 0.833], [0.000, 0.000, 0.379], [0.000, 0.000, 0.621], [0.333, 0.667, 0.046], [0.333, 0.667, 0.288], [0.667, 0.333, 0.712], [0.667, 0.333, 0.954]], "m_tot_mub_per_fu": 2.0, "de_polymorph_mev_per_atom": 154, "n_ef_per_ev_cell": 4.7, "e_form_raw_mev_per_atom": -1255}


(3)
{"formula": "Ca3Se2Cl2", "functional": "PBE-GGA", "state": "relaxed", "cell": [[15.484, 0.000, 0.000], [0.000, 4.127, 0.000], [-3.353, 0.000, 6.424]], "species": ["Ca", "Ca", "Ca", "Ca", "Ca", "Ca", "Se", "Se", "Se", "Se", "Cl", "Cl", "Cl", "Cl"], "fractional_positions": [[0.000, 0.000, 0.000], [0.229, 0.500, 0.721], [0.271, 0.000, 0.279], [0.500, 0.500, 0.000], [0.729, 0.000, 0.721], [0.771, 0.500, 0.279], [0.133, 0.500, 0.273], [0.367, 0.000, 0.727], [0.633, 0.000, 0.273], [0.867, 0.500, 0.727], [0.137, 0.000, 0.828], [0.363, 0.500, 0.172], [0.637, 0.500, 0.828], [0.863, 0.000, 0.172]], "m_tot_mub_per_fu": 0.0, "n_ef_per_ev_cell": 0.0, "e_form_raw_mev_per_atom": -2117}


(4)
{"formula": "CaSeCl", "functional": "PBE-GGA", "state": "relaxed", "cell": [[6.884, 0.000, 0.000], [0.000, 6.884, 0.000], [0.000, 0.000, 6.884]], "species": ["Ca", "Ca", "Ca", "Ca", "Se", "Se", "Se", "Se", "Cl", "Cl", "Cl", "Cl"], "fractional_positions": [[0.000, 0.000, 0.000], [0.000, 0.500, 0.500], [0.500, 0.000, 0.500], [0.500, 0.500, 0.000], [0.000, 0.000, 0.500], [0.000, 0.500, 0.000], [0.500, 0.000, 0.000], [0.500, 0.500, 0.500], [0.250, 0.250, 0.750], [0.250, 0.750, 0.250], [0.750, 0.250, 0.250], [0.750, 0.750, 0.750]], "m_tot_mub_per_fu": 0.3, "de_polymorph_mev_per_atom": 791, "n_ef_per_ev_cell": 18.8, "e_form_raw_mev_per_atom": -972}


(5)
{"formula": "CaSeCl2", "functional": "PBE-GGA", "state": "relaxed", "cell": [[3.987, 0.000, 0.000], [-1.993, 3.453, 0.000], [0.000, 0.000, 32.739]], "species": ["Ca", "Ca", "Ca", "Se", "Se", "Se", "Cl", "Cl", "Cl", "Cl", "Cl", "Cl"], "fractional_positions": [[0.000, 0.000, 0.000], [0.333, 0.667, 0.667], [0.667, 0.333, 0.333], [0.000, 0.000, 0.500], [0.333, 0.667, 0.167], [0.667, 0.333, 0.833], [0.000, 0.000, 0.288], [0.000, 0.000, 0.712], [0.333, 0.667, 0.378], [0.333, 0.667, 0.955], [0.667, 0.333, 0.045], [0.667, 0.333, 0.622]], "m_tot_mub_per_fu": 2.0, "de_polymorph_mev_per_atom": 151, "n_ef_per_ev_cell": 2.8, "e_form_raw_mev_per_atom": -1257}


(6)
{"formula": "CaSe4Cl", "functional": "PBE-GGA", "state": "relaxed", "cell": [[0.000, 4.085, 4.085], [4.085, 0.000, 4.085], [4.085, 4.085, 0.000]], "species": ["Ca", "Se", "Se", "Se", "Se", "Cl"], "fractional_positions": [[0.000, 0.000, 0.000], [0.375, 0.375, 0.375], [0.375, 0.375, 0.874], [0.375, 0.874, 0.375], [0.874, 0.375, 0.375], [0.750, 0.750, 0.750]], "m_tot_mub_per_fu": 0.0, "n_ef_per_ev_cell": 8.7, "e_form_raw_mev_per_atom": -376}


(7)
{"formula": "CaSeCl2", "functional": "PBE-GGA", "state": "relaxed", "cell": [[7.282, 0.000, 0.000], [0.000, 7.282, 0.000], [0.000, 0.000, 7.282]], "species": ["Ca", "Ca", "Ca", "Ca", "Se", "Se", "Se", "Se", "Cl", "Cl", "Cl", "Cl", "Cl", "Cl", "Cl", "Cl"], "fractional_positions": [[0.000, 0.000, 0.000], [0.000, 0.500, 0.500], [0.500, 0.000, 0.500], [0.500, 0.500, 0.000], [0.250, 0.250, 0.250], [0.250, 0.750, 0.750], [0.750, 0.250, 0.750], [0.750, 0.750, 0.250], [0.000, 0.000, 0.500], [0.000, 0.500, 0.000], [0.250, 0.250, 0.750], [0.250, 0.750, 0.250], [0.500, 0.000, 0.000], [0.500, 0.500, 0.500], [0.750, 0.250, 0.250], [0.750, 0.750, 0.750]], "m_tot_mub_per_fu": 2.0, "de_polymorph_mev_per_atom": 563, "n_ef_per_ev_cell": 12.1, "e_form_raw_mev_per_atom": -846}


(8)
{"formula": "Ca7SeCl12", "functional": "PBE-GGA", "state": "relaxed", "cell": [[7.289, 4.208, 3.333], [-7.289, 4.208, 3.333], [0.000, -8.417, 3.333]], "species": ["Ca", "Ca", "Ca", "Ca", "Ca", "Ca", "Ca", "Se", "Cl", "Cl", "Cl", "Cl", "Cl", "Cl", "Cl", "Cl", "Cl", "Cl", "Cl", "Cl"], "fractional_positions": [[0.000, 0.000, 0.000], [0.146, 0.368, 0.474], [0.368, 0.474, 0.146], [0.474, 0.146, 0.368], [0.526, 0.854, 0.632], [0.632, 0.526, 0.854], [0.854, 0.631, 0.526], [0.500, 0.500, 0.500], [0.050, 0.335, 0.136], [0.136, 0.050, 0.335], [0.187, 0.703, 0.573], [0.297, 0.427, 0.813], [0.335, 0.136, 0.050], [0.427, 0.813, 0.297], [0.573, 0.187, 0.703], [0.665, 0.864, 0.950], [0.703, 0.573, 0.187], [0.813, 0.297, 0.427], [0.864, 0.950, 0.665], [0.950, 0.665, 0.864]], "m_tot_mub_per_fu": 0.1, "n_ef_per_ev_cell": 0.0, "e_form_raw_mev_per_atom": -2343}


Which formula does entry 1 have? CaSeCl2